# PmSm6Sc3, relaxed, DFT PBE
# E_form   0.1792 eV/atom
# Volume   31.55 Å³/atom
# Total DFT energy (no corrections)   -150.80 eV per cell
# E above lowest polymorph   0.016 eV/atom
data_PmSm6Sc3
_symmetry_space_group_name_H-M 'R 3 2'
_symmetry_Int_Tables_number 155
_symmetry_space_group_name_Hall 'R 3 2"'
_cell_length_a 9.7383
_cell_length_b 9.7383
_cell_length_c 11.5228
_cell_angle_alpha 90.00
_cell_angle_beta 90.00
_cell_angle_gamma 120.00
loop_
_atom_site_label
_atom_site_fract_x
_atom_site_fract_y
_atom_site_fract_z
Pm1 0.0000 0.0000 0.0000
Sm1 0.0000 0.3379 0.0000
Sm2 0.9999 0.6667 0.1667
Sc1 0.0000 0.0000 0.2601
Sc2 0.0000 0.0000 0.5000